# 1
A geometry-optimized LiOsBr2 structure, computed with PBE-GGA.

abc: 3.2406 7.4527 3.9866
angles: 90.00 90.00 90.00
Last column: nearest neighbours and their distance in Å.
Fractional coordinates of all 4 atoms:
Br  0.5000  0.5000  0.0000  4 Os 2.57
Li  0.5000  0.0000  0.5000  4 Br 2.57
Os  0.0000  0.5000  0.5000  4 Br 2.57
Br  0.0000  0.0000  0.0000  4 Li 2.57

Properties
For the total magnetization, the calculation gives 0.39 μB/atom. Its uncorrected formation energy is 1.77 eV per formula unit. For the offset from the most stable computed form, the calculation gives 358 meV/atom. Its space group is Pmmm (47).

# 2
A geometry-optimized Li3Mg structure, computed with PBE-GGA.

abc: 6.0851 6.0851 5.0365
angles: 90.00 90.00 120.00
Last column: nearest neighbours and their distance in Å.
Fractional coordinates of all 8 atoms:
Li  0.3318  0.1659  0.2500  8 Li 3.03-3.07, 4 Mg 3.04-3.07
Mg  0.3333  0.6667  0.2500  12 Li 3.04-3.07
Li  0.1659  0.8341  0.7500  8 Li 3.03-3.07, 4 Mg 3.04-3.07
Li  0.1659  0.3318  0.7500  8 Li 3.03-3.07, 4 Mg 3.04-3.07
Mg  0.6667  0.3333  0.7500  12 Li 3.04-3.07
Li  0.6682  0.8341  0.7500  8 Li 3.03-3.07, 4 Mg 3.04-3.07
Li  0.8341  0.1659  0.2500  8 Li 3.03-3.07, 4 Mg 3.04-3.07
Li  0.8341  0.6682  0.2500  8 Li 3.03-3.07, 4 Mg 3.04-3.07

Properties
The energy relative to the elements is -0.029 eV/atom. For the total magnetization, the calculation gives 0.00 μB/atom. Its space group is P6_3/mmc (194).